(1)
The following is a SCAN calculation of HfZr3Os at its PBEsol-relaxed geometry, from Alexandria via LeMat-Bulk.

Calculated values
Energy above the most stable polymorph in this dataset   1255.3 meV per atom
Crystal system   cubic
Energy   -218.6 eV per formula unit
D(E_F)   1.07 states/eV/atom
ΔH_f (0 K)   1.61 eV/atom

Cell and atoms, written as CIF:
```
data_HfZr3Os
_chemical_formula_sum 'Hf1 Zr3 Os1'
_symmetry_space_group_name_H-M 'P m -3 m'
_symmetry_Int_Tables_number 221
_symmetry_space_group_name_Hall '-P 4 2 3'
_cell_length_a 4.9036
_cell_length_b 4.9036
_cell_length_c 4.9036
_cell_angle_alpha 90.00
_cell_angle_beta 90.00
_cell_angle_gamma 90.00
loop_
_atom_site_label
_atom_site_fract_x
_atom_site_fract_y
_atom_site_fract_z
Hf1 0.0000 0.0000 0.0000
Zr1 0.0000 0.0000 0.5000
Os1 0.5000 0.5000 0.5000
```


(2)
The following is a SCAN calculation of NaSm8Se12 at its PBEsol-relaxed geometry, from Alexandria via LeMat-Bulk.

Calculated values
Crystal system   tetragonal
Energy   -644.0 eV per formula unit
D(E_F)   0.29 states/eV/atom

Cell and atoms, written as CIF:
```
data_NaSm8Se12
_chemical_formula_sum 'Na4 Sm32 Se48'
_symmetry_space_group_name_H-M 'I -4 2 d'
_symmetry_Int_Tables_number 122
_symmetry_space_group_name_Hall 'I -4 2bw'
_cell_length_a 8.7028
_cell_length_b 8.7028
_cell_length_c 26.1806
_cell_angle_alpha 90.00
_cell_angle_beta 90.00
_cell_angle_gamma 90.00
loop_
_atom_site_label
_atom_site_fract_x
_atom_site_fract_y
_atom_site_fract_z
Na1 0.0000 0.0000 0.0000
Sm1 0.0000 0.0000 0.3327
Sm2 0.1196 0.7500 0.1250
Sm3 0.1280 0.7468 0.4595
Se1 0.0743 0.6740 0.6829
Se2 0.0741 0.6790 0.3527
Se3 0.0782 0.6738 0.0159
```


(3)
The following is a SCAN calculation of Mg2TlNi at its PBEsol-relaxed geometry, from Alexandria via LeMat-Bulk.

Calculated values
Crystal system   tetragonal
Energy   -98.9 eV per formula unit
D(E_F)   0.44 states/eV/atom
ΔH_f (0 K)   -0.10 eV/atom

Cell and atoms, written as CIF:
```
data_Mg2TlNi
_chemical_formula_sum 'Mg2 Tl1 Ni1'
_symmetry_space_group_name_H-M 'P 4/m m m'
_symmetry_Int_Tables_number 123
_symmetry_space_group_name_Hall '-P 4 2'
_cell_length_a 3.1024
_cell_length_b 3.1024
_cell_length_c 7.6120
_cell_angle_alpha 90.00
_cell_angle_beta 90.00
_cell_angle_gamma 90.00
loop_
_atom_site_label
_atom_site_fract_x
_atom_site_fract_y
_atom_site_fract_z
Mg1 0.0000 0.0000 0.1931
Tl1 0.5000 0.5000 0.5000
Ni1 0.5000 0.5000 0.0000
```


(4)
The following is a SCAN calculation of PAu2Br at its PBEsol-relaxed geometry, from Alexandria via LeMat-Bulk.

Calculated values
Energy above the most stable polymorph in this dataset   457.9 meV per atom
Crystal system   orthorhombic
Energy   -166.0 eV per formula unit
D(E_F)   0.31 states/eV/atom

Cell and atoms, written as CIF:
```
data_PAu2Br
_chemical_formula_sum 'P2 Au4 Br2'
_symmetry_space_group_name_H-M 'I m m m'
_symmetry_Int_Tables_number 71
_symmetry_space_group_name_Hall '-I 2 2'
_cell_length_a 2.9999
_cell_length_b 4.5661
_cell_length_c 10.8796
_cell_angle_alpha 90.00
_cell_angle_beta 90.00
_cell_angle_gamma 90.00
loop_
_atom_site_label
_atom_site_fract_x
_atom_site_fract_y
_atom_site_fract_z
P1 0.0000 0.0000 0.0000
Au1 0.0000 0.5000 0.2961
Br1 0.0000 0.0000 0.5000
```


(5)
The following is a SCAN calculation of AlFeW at its PBEsol-relaxed geometry, from Alexandria via LeMat-Bulk.

Calculated values
Energy above the most stable polymorph in this dataset   0.0 meV per atom
Crystal system   tetragonal
Energy   -95.8 eV per formula unit
D(E_F)   0.60 states/eV/atom
ΔH_f (0 K)   -0.08 eV/atom

Cell and atoms, written as CIF:
```
data_AlFeW
_chemical_formula_sum 'Al2 Fe2 W2'
_symmetry_space_group_name_H-M 'I 4 m m'
_symmetry_Int_Tables_number 107
_symmetry_space_group_name_Hall 'I 4 -2'
_cell_length_a 2.8386
_cell_length_b 2.8386
_cell_length_c 9.6312
_cell_angle_alpha 90.00
_cell_angle_beta 90.00
_cell_angle_gamma 90.00
loop_
_atom_site_label
_atom_site_fract_x
_atom_site_fract_y
_atom_site_fract_z
Al1 0.0000 0.0000 0.0000
Fe1 0.0000 0.0000 0.6488
W1 0.0000 0.0000 0.3076
```


(6)
The following is a SCAN calculation of CsPdW2 at its PBEsol-relaxed geometry, from Alexandria via LeMat-Bulk.

Calculated values
Crystal system   cubic
Energy   -201.0 eV per formula unit
D(E_F)   0.97 states/eV/atom
ΔH_f (0 K)   2.24 eV/atom

Cell and atoms, written as CIF:
```
data_CsPdW2
_chemical_formula_sum 'Cs4 Pd4 W8'
_symmetry_space_group_name_H-M 'F m -3 m'
_symmetry_Int_Tables_number 225
_symmetry_space_group_name_Hall '-F 4 2 3'
_cell_length_a 6.5371
_cell_length_b 6.5371
_cell_length_c 6.5371
_cell_angle_alpha 90.00
_cell_angle_beta 90.00
_cell_angle_gamma 90.00
loop_
_atom_site_label
_atom_site_fract_x
_atom_site_fract_y
_atom_site_fract_z
Cs1 0.0000 0.0000 0.0000
Pd1 0.0000 0.0000 0.5000
W1 0.2500 0.2500 0.2500
```


(7)
The following is a SCAN calculation of Ta2Nb2Sb at its PBEsol-relaxed geometry, from Alexandria via LeMat-Bulk.

Calculated values
Crystal system   tetragonal
Energy   -233.1 eV per formula unit
D(E_F)   0.96 states/eV/atom

Cell and atoms, written as CIF:
```
data_Ta2Nb2Sb
_chemical_formula_sum 'Ta4 Nb4 Sb2'
_symmetry_space_group_name_H-M 'I 4/m m m'
_symmetry_Int_Tables_number 139
_symmetry_space_group_name_Hall '-I 4 2'
_cell_length_a 3.6994
_cell_length_b 3.6994
_cell_length_c 14.5856
_cell_angle_alpha 90.00
_cell_angle_beta 90.00
_cell_angle_gamma 90.00
loop_
_atom_site_label
_atom_site_fract_x
_atom_site_fract_y
_atom_site_fract_z
Ta1 0.0000 0.0000 0.0964
Nb1 0.0000 0.5000 0.2500
Sb1 0.0000 0.0000 0.5000
```


(8)
The following is a SCAN calculation of Zn2WSe at its PBEsol-relaxed geometry, from Alexandria via LeMat-Bulk.

Calculated values
Crystal system   monoclinic
Energy   -114.4 eV per formula unit
D(E_F)   0.53 states/eV/atom

Cell and atoms, written as CIF:
```
data_Zn2WSe
_chemical_formula_sum 'Zn2 W1 Se1'
_symmetry_space_group_name_H-M 'P 1 2/m 1'
_symmetry_Int_Tables_number 10
_cell_length_a 2.9195
_cell_length_b 4.9781
_cell_length_c 4.3194
_cell_angle_alpha 90.00
_cell_angle_beta 91.89
_cell_angle_gamma 90.00
loop_
_symmetry_equiv_pos_as_xyz
'x,y,z'
'-x,-y,-z'
'-x,y,-z'
'x,-y,z'
loop_
_atom_site_label
_atom_site_fract_x
_atom_site_fract_y
_atom_site_fract_z
Zn1 0.2426 0.0000 0.2578
W1 0.5000 0.5000 0.5000
Se1 0.0000 0.5000 0.0000
```


no.,total magnetic moment (Bohr magnetons per cell)
1,0.000
2,0.000
3,0.075
4,0.000
5,0.831
6,0.000
7,0.000
8,0.000